1.
Compound: Al2SnAu
Source: Alexandria
Functional: SCAN
Structure: PBEsol geometry

Computed properties:
total energy = -30.260 eV/atom

Lattice parameters (Å, degrees): 4.4889 4.4889 8.9508 104.52 104.52 90.00
Positions (direct):
Al1 0.3165 0.8750 0.2500
Al2 0.6250 0.6835 0.7500
Al3 0.1250 0.0665 0.7500
Al4 0.9335 0.3750 0.2500
Au1 0.2500 0.7500 0.5000
Au2 0.0000 0.0000 0.0000
Sn1 0.7500 0.2500 0.5000
Sn2 0.5000 0.5000 0.0000

2.
Compound: Al3SnAu
Source: Alexandria
Functional: SCAN
Structure: PBEsol geometry

Computed properties:
total energy = -24.666 eV/atom

Lattice parameters (Å, degrees): 5.1230 5.1230 5.1230 90.00 90.00 90.00
Positions (direct):
Au1 0.5000 0.5000 0.5000
Al1 0.5000 0.0000 0.0000
Al2 0.0000 0.5000 0.0000
Al3 0.0000 0.0000 0.5000
Sn1 0.0000 0.0000 0.0000

3.
Compound: AlSnAu3
Source: Alexandria
Functional: SCAN
Structure: PBEsol geometry

Computed properties:
total energy = -49.682 eV/atom

Lattice parameters (Å, degrees): 5.1068 5.1068 5.1068 90.00 90.00 90.00
Positions (direct):
Al1 0.5000 0.5000 0.5000
Au1 0.0000 0.0000 0.5000
Au2 0.0000 0.5000 0.0000
Au3 0.5000 0.0000 0.0000
Sn1 0.0000 0.0000 0.0000

4.
Compound: AlSnAu3
Source: Alexandria
Functional: SCAN
Structure: PBEsol geometry

Computed properties:
total energy = -50.122 eV/atom

Lattice parameters (Å, degrees): 4.7931 4.7931 4.7931 90.00 90.00 90.00
Positions (direct):
Au1 0.0000 0.5000 0.0000
Au2 0.0000 0.0000 0.5000
Au3 0.5000 0.0000 0.0000
Al1 0.0000 0.0000 0.0000
Sn1 0.5000 0.5000 0.5000

5.
Compound: SrAl2Au
Source: Alexandria
Functional: SCAN
Structure: PBEsol geometry

Computed properties:
total energy = -27.146 eV/atom

Lattice parameters (Å, degrees): 5.0202 5.0202 9.3603 105.55 105.55 90.00
Positions (direct):
Au1 0.0000 0.0000 0.0000
Au2 0.2500 0.7500 0.5000
Al1 0.1250 0.8750 0.2500
Al2 0.1250 0.8750 0.7500
Al3 0.1250 0.3750 0.2500
Al4 0.6250 0.8750 0.7500
Sr1 0.5000 0.5000 0.0000
Sr2 0.7500 0.2500 0.5000

6.
Compound: SrAl2Au
Source: Alexandria
Functional: SCAN
Structure: PBEsol geometry

Computed properties:
total energy = -27.355 eV/atom

Lattice parameters (Å, degrees): 4.3351 4.3495 6.2744 110.10 90.00 119.89
Positions (direct):
Al1 0.7050 0.4101 0.6150
Al2 0.2950 0.5899 0.3850
Sr1 0.5000 0.0000 0.0000
Au1 0.0000 0.0000 0.5000

7.
Compound: SrAlAu
Source: Alexandria
Functional: SCAN
Structure: PBEsol geometry

Computed properties:
total energy = -33.490 eV/atom

Lattice parameters (Å, degrees): 4.8462 4.8462 4.8462 60.00 60.00 60.00
Positions (direct):
Al1 0.5000 0.5000 0.5000
Sr1 0.0000 0.0000 0.0000
Au1 0.2500 0.2500 0.2500

8.
Compound: Sr2Al2Au
Source: Alexandria
Functional: SCAN
Structure: PBEsol geometry

Computed properties:
total energy = -26.120 eV/atom

Lattice parameters (Å, degrees): 3.8129 3.8129 9.8435 101.17 101.17 90.00
Positions (direct):
Al1 0.7500 0.2500 0.5000
Al2 0.2500 0.7500 0.5000
Au1 0.0000 0.0000 0.0000
Sr1 0.5971 0.5971 0.1941
Sr2 0.4029 0.4029 0.8059

9.
Compound: SrAl2Au
Source: Alexandria
Functional: SCAN
Structure: PBEsol geometry

Computed properties:
total energy = -27.384 eV/atom

Lattice parameters (Å, degrees): 4.3883 4.3883 6.2506 69.45 69.45 60.00
Positions (direct):
Al1 0.7787 0.7787 0.6639
Al2 0.0411 0.0411 0.8768
Au1 0.4309 0.4309 0.7072
Sr1 0.2428 0.2428 0.2716

10.
Compound: SrAl2Au2
Source: Alexandria
Functional: SCAN
Structure: PBEsol geometry

Computed properties:
total energy = -36.122 eV/atom

Lattice parameters (Å, degrees): 4.3196 4.3196 6.4057 109.70 109.70 90.00
Positions (direct):
Al1 0.2500 0.7500 0.5000
Al2 0.7500 0.2500 0.5000
Au1 0.6252 0.6252 0.2504
Au2 0.3748 0.3748 0.7496
Sr1 0.0000 0.0000 0.0000

11.
Compound: SrAlAu2
Source: Alexandria
Functional: SCAN
Structure: PBEsol geometry

Computed properties:
total energy = -42.718 eV/atom

Lattice parameters (Å, degrees): 3.3480 3.3480 7.3361 90.00 90.00 90.00
Positions (direct):
Al1 0.5000 0.5000 0.5000
Au1 0.0000 0.0000 0.6949
Au2 0.0000 0.0000 0.3051
Sr1 0.5000 0.5000 0.0000

12.
Compound: SrAl2Au2
Source: Alexandria
Functional: SCAN
Structure: PBEsol geometry

Computed properties:
total energy = -36.106 eV/atom

Lattice parameters (Å, degrees): 4.4373 4.4373 10.5401 90.00 90.00 90.00
Positions (direct):
Au1 0.0000 0.5000 0.6300
Au2 0.5000 0.5000 0.0000
Au3 0.0000 0.0000 0.0000
Au4 0.5000 0.0000 0.3700
Al1 0.5000 0.0000 0.1264
Al2 0.0000 0.0000 0.5000
Al3 0.5000 0.5000 0.5000
Al4 0.0000 0.5000 0.8736
Sr1 0.0000 0.5000 0.2491
Sr2 0.5000 0.0000 0.7509

Copy entry 6 word for word.
Compound: SrAl2Au
Source: Alexandria
Functional: SCAN
Structure: PBEsol geometry

Computed properties:
total energy = -27.355 eV/atom

Lattice parameters (Å, degrees): 4.3351 4.3495 6.2744 110.10 90.00 119.89
Positions (direct):
Al1 0.7050 0.4101 0.6150
Al2 0.2950 0.5899 0.3850
Sr1 0.5000 0.0000 0.0000
Au1 0.0000 0.0000 0.5000

What is the formula in the second record? Al3SnAu

Among the records above, which one has the highest total energy? Al3SnAu